Material: Ho3Th2UAs6
Method: DFT, PBE-GGA
State: optimized geometry

Properties
- Raw total energy: -6.9907 eV/atom
- SG: No. 12
- Magnetization: 2.74 μB/cell

POSCAR file:
```
Ho3Th2UAs6
1.0
9.054 -2.076 0.000
9.054 2.076 0.000
-1.909 0.000 8.088
Ho Th U As
3 2 1 6
Cartesian
0.000 0.000 0.000
4.739 0.000 5.395
11.461 0.000 2.693
5.746 0.000 1.368
10.454 0.000 6.720
-0.954 0.000 4.044
2.821 0.000 0.714
1.910 0.000 4.652
7.567 0.000 6.047
8.633 0.000 2.041
14.290 0.000 3.436
13.379 0.000 7.374
```

---

Material: Pu2ZnSi
Method: DFT, PBE-GGA
State: optimized geometry

Properties
- Raw total energy: -8.5208 eV/atom
- SG: No. 166
- Magnetization: 4.02 μB/cell
- Formation energy (no corrections): 0.32 eV/atom

POSCAR file:
```
Pu2ZnSi
1.0
1.331 0.769 11.393
-1.331 0.769 11.393
0.000 -1.537 11.393
Pu Zn Si
2 1 1
Cartesian
0.000 0.000 3.134
0.000 0.000 31.045
0.000 0.000 0.000
0.000 0.000 17.089
```

---

- Number 1 is which compound?
  Ho3Th2UAs6